one:
## Ba2NaAl2 (PBE)

Data for a relaxed Ba2NaAl2 crystal.

abc: 9.518 9.518 4.263
angles: 90.00 90.00 90.00
Positions (direct):
Al: 0.100 0.400 0.000
Al: 0.400 0.900 0.000
Al: 0.900 0.600 0.000
Al: 0.600 0.100 0.000
Na: 0.500 0.500 0.000
Na: 0.000 0.000 0.000
Ba: 0.687 0.813 0.500
Ba: 0.313 0.187 0.500
Ba: 0.813 0.313 0.500
Ba: 0.187 0.687 0.500

Computed properties:
- space group = P4/mbm (127)

two:
## Ba2NaAl2 (PBE)

Data for a relaxed Ba2NaAl2 crystal.

abc: 10.004 10.004 3.656
angles: 90.00 90.00 90.00
Positions (direct):
Al: 0.599 0.901 0.500
Al: 0.401 0.099 0.500
Al: 0.901 0.401 0.500
Al: 0.099 0.599 0.500
Na: 0.000 0.000 0.000
Na: 0.500 0.500 0.000
Ba: 0.812 0.688 0.000
Ba: 0.688 0.188 0.000
Ba: 0.312 0.812 0.000
Ba: 0.188 0.312 0.000

Computed properties:
- space group = P4/mbm (127)

Winner for stability: one

one:
## BaNaAl2Pd (PBE)

Data for a relaxed BaNaAl2Pd crystal.

abc: 5.240 5.147 5.240
angles: 90.00 90.00 90.00
Positions (direct):
Pd: 0.000 0.500 0.000
Al: 0.000 0.000 0.500
Al: 0.500 0.000 0.000
Ba: 0.500 0.500 0.500
Na: 0.000 0.000 0.000

Computed properties:
- space group = P4/mmm (123)

two:
## BaNaAl2Pd (PBE)

Data for a relaxed BaNaAl2Pd crystal.

abc: 4.893 4.893 5.438
angles: 90.00 90.00 90.00
Positions (direct):
Pd: 0.000 0.000 0.000
Na: 0.000 0.000 0.500
Al: 0.000 0.500 0.000
Al: 0.500 0.000 0.000
Ba: 0.500 0.500 0.500

Computed properties:
- space group = P4/mmm (123)

Winner for stability: two

one:
## Ba2NaAlZn (PBE)

Data for a relaxed Ba2NaAlZn crystal.

abc: 6.531 6.531 4.762
angles: 90.00 90.00 90.00
Positions (direct):
Al: 0.000 0.000 0.500
Ba: 0.500 0.000 0.000
Ba: 0.000 0.500 0.000
Na: 0.500 0.500 0.500
Zn: 0.000 0.000 0.000

Computed properties:
- space group = P4/mmm (123)

two:
## Ba2NaAlZn (PBE)

Data for a relaxed Ba2NaAlZn crystal.

abc: 6.354 6.354 5.274
angles: 90.00 90.00 90.00
Positions (direct):
Zn: 0.000 0.000 0.000
Ba: 0.500 0.000 0.000
Ba: 0.000 0.500 0.000
Na: 0.000 0.000 0.500
Al: 0.500 0.500 0.500

Computed properties:
- space group = P4/mmm (123)

Winner for stability: one

one:
## Ba2NbAl2 (PBE)

Data for a relaxed Ba2NbAl2 crystal.

abc: 7.443 7.443 5.592
angles: 90.00 90.00 90.00
Last column: magnetic moment on the atom in μB.
Positions (direct):
Nb: 0.500 0.500 0.000  1.50
Nb: 0.000 0.000 0.000  1.49
Al: 0.862 0.638 0.000  -0.02
Al: 0.362 0.862 0.000  -0.02
Al: 0.638 0.138 0.000  -0.02
Al: 0.138 0.362 0.000  -0.02
Ba: 0.825 0.325 0.500  -0.03
Ba: 0.675 0.825 0.500  -0.02
Ba: 0.175 0.675 0.500  -0.03
Ba: 0.325 0.175 0.500  -0.02

Computed properties:
- space group = P4/mbm (127)

two:
## Ba2NbAl2 (PBE)

Data for a relaxed Ba2NbAl2 crystal.

abc: 4.321 4.321 8.106
angles: 74.54 74.54 90.00
Positions (direct):
Ba: 0.750 0.250 0.500
Ba: 0.250 0.750 0.500
Al: 0.420 0.420 0.161
Al: 0.580 0.580 0.839
Nb: 0.000 0.000 0.000

Computed properties:
- space group = I4/mmm (139)

Winner for stability: one

one:
## Ba2NdAlO5 (PBE)

Data for a relaxed Ba2NdAlO5 crystal.

abc: 3.525 8.180 11.282
angles: 90.00 90.00 102.44
Positions (direct):
Al: 0.451 0.901 0.429
Al: 0.549 0.099 0.929
Ba: 0.126 0.251 0.328
Ba: 0.892 0.784 0.180
Ba: 0.108 0.216 0.680
Ba: 0.874 0.749 0.828
Nd: 0.795 0.590 0.531
Nd: 0.205 0.410 0.031
O: 0.655 0.310 0.509
O: 0.498 0.996 0.791
O: 0.345 0.690 0.009
O: 0.660 0.320 0.897
O: 0.706 0.412 0.167
O: 0.502 0.004 0.291
O: 0.036 0.071 0.992
O: 0.964 0.929 0.492
O: 0.340 0.680 0.397
O: 0.294 0.588 0.667

Computed properties:
- space group = Cmc2_1 (36)

two:
## Ba2NdAlO5 (PBE)

Data for a relaxed Ba2NdAlO5 crystal.

abc: 6.191 7.476 7.657
angles: 62.15 90.00 90.00
Positions (direct):
Ba: 0.742 0.138 0.610
Ba: 0.744 0.692 0.146
Ba: 0.242 0.862 0.390
Ba: 0.244 0.308 0.854
Nd: 0.239 0.397 0.338
Nd: 0.739 0.603 0.662
O: 0.508 0.495 0.487
O: 0.762 0.236 0.911
O: 0.262 0.764 0.089
O: 0.955 0.769 0.796
O: 0.913 0.310 0.236
O: 0.763 0.910 0.341
O: 0.263 0.090 0.659
O: 0.455 0.231 0.204
O: 0.413 0.690 0.764
O: 0.008 0.505 0.513
Al: 0.226 0.828 0.835
Al: 0.726 0.172 0.165

Computed properties:
- space group = P2_1 (4)

Winner for stability: two

one:
## BaAlNi3 (PBE)

Data for a relaxed BaAlNi3 crystal.

abc: 4.616 4.616 4.616
angles: 90.00 90.00 90.00
Positions (direct):
Ni: 0.000 0.000 0.500
Ni: 0.500 0.000 0.000
Ni: 0.000 0.500 0.000
Al: 0.000 0.000 0.000
Ba: 0.500 0.500 0.500

Computed properties:
- space group = Pm-3m (221)

two:
## BaAlNi3 (PBE)

Data for a relaxed BaAlNi3 crystal.

abc: 4.905 4.905 4.905
angles: 90.00 90.00 90.00
Positions (direct):
Ba: 0.000 0.000 0.000
Al: 0.500 0.500 0.500
Ni: 0.000 0.500 0.000
Ni: 0.500 0.000 0.000
Ni: 0.000 0.000 0.500

Computed properties:
- space group = Pm-3m (221)

Winner for stability: one

one:
## BaAlP2O (PBE)

Data for a relaxed BaAlP2O crystal.

abc: 6.033 6.033 4.562
angles: 90.00 90.00 90.00
Last column: magnetic moment on the atom in μB.
Positions (direct):
O: 0.000 0.000 0.500  0.32
Ba: 0.000 0.000 0.000  0.09
P: 0.000 0.500 0.000  0.65
P: 0.500 0.000 0.000  0.65
Al: 0.500 0.500 0.500  0.04

Computed properties:
- space group = P4/mmm (123)

two:
## BaAlP2O (PBE)

Data for a relaxed BaAlP2O crystal.

abc: 5.437 5.437 3.490
angles: 90.00 90.00 90.00
Positions (direct):
P: 0.000 0.500 0.000
P: 0.500 0.000 0.000
O: 0.000 0.000 0.500
Al: 0.000 0.000 0.000
Ba: 0.500 0.500 0.500

Computed properties:
- space group = P4/mmm (123)

Winner for stability: two

one:
## Ba2ScAlO5 (PBE)

Data for a relaxed Ba2ScAlO5 crystal.

abc: 5.870 5.870 14.655
angles: 90.39 90.39 59.54
Positions (direct):
O: 0.341 0.857 0.571
O: 0.492 0.067 0.248
O: 0.067 0.492 0.248
O: 0.836 0.336 0.924
O: 0.857 0.857 0.610
O: 0.152 0.152 0.093
O: 0.154 0.154 0.403
O: 0.170 0.636 0.411
O: 0.857 0.341 0.571
O: 0.636 0.170 0.411
O: 0.634 0.166 0.085
O: 0.166 0.634 0.085
O: 0.826 0.826 0.889
O: 0.336 0.836 0.924
O: 0.586 0.586 0.761
Ba: 0.663 0.663 0.100
Ba: 0.010 0.010 0.760
Ba: 0.329 0.329 0.936
Ba: 0.663 0.663 0.401
Ba: 0.980 0.980 0.251
Ba: 0.337 0.337 0.560
Al: 0.307 0.307 0.152
Al: 0.652 0.652 0.874
Al: 0.308 0.308 0.344
Sc: 0.668 0.668 0.637
Sc: 0.994 0.994 0.009
Sc: 0.999 0.999 0.491

Computed properties:
- space group = Cm (8)

two:
## Ba2ScAlO5 (PBE)

Data for a relaxed Ba2ScAlO5 crystal.

abc: 3.370 7.768 11.197
angles: 90.00 90.00 102.53
Positions (direct):
Al: 0.560 0.120 0.938
Al: 0.440 0.880 0.438
Ba: 0.133 0.267 0.319
Ba: 0.113 0.225 0.679
Ba: 0.867 0.733 0.819
Ba: 0.887 0.775 0.179
O: 0.498 0.996 0.302
O: 0.292 0.585 0.645
O: 0.708 0.415 0.145
O: 0.324 0.648 0.401
O: 0.338 0.677 0.005
O: 0.502 0.004 0.802
O: 0.662 0.323 0.505
O: 0.676 0.352 0.901
O: 0.950 0.900 0.508
O: 0.050 0.100 0.008
Sc: 0.210 0.419 0.027
Sc: 0.790 0.581 0.527

Computed properties:
- space group = Cmc2_1 (36)

Winner for stability: one